Entry from the Alexandria database: SnH2Pt at its PBEsol-relaxed geometry (meta-GGA SCAN).

Computed properties:
Crystal system: cubic
Total moment, μB/f.u.: 0.0
Fermi-level density of states, states/eV/atom: 0.6579
Total DFT energy (no corrections), eV per cell: -109.8

a b c (Å): 4.0008 4.0008 4.0008
angles (deg): 60.00 60.00 60.00
Closest atoms and distances in Å follow each position.
Sites, in units of the cell vectors:
1 H 0.2500 0.2500 0.2500  4 Sn 2.45, 4 Pt 2.45
2 H 0.7500 0.7500 0.7500  4 Sn 2.45, 4 Pt 2.45
3 Sn 0.0000 0.0000 0.0000  8 H 2.45
4 Pt 0.5000 0.5000 0.5000  8 H 2.45

***

Entry from the Alexandria database: Sr2HPt at its PBEsol-relaxed geometry (meta-GGA SCAN).

Computed properties:
Crystal system: cubic
Total moment, μB/f.u.: 0.0
Fermi-level density of states, states/eV/atom: 0.4288
Total DFT energy (no corrections), eV per cell: -120.3

a b c (Å): 5.0435 5.0435 5.0435
angles (deg): 60.00 60.00 60.00
Closest atoms and distances in Å follow each position.
Sites, in units of the cell vectors:
1 Sr 0.2500 0.2500 0.2500  4 H 3.09, 4 Pt 3.09
2 Sr 0.7500 0.7500 0.7500  4 H 3.09, 4 Pt 3.09
3 Pt 0.5000 0.5000 0.5000  8 Sr 3.09
4 H 0.0000 0.0000 0.0000  8 Sr 3.09

***

Entry from the Alexandria database: SrHPt2 at its PBEsol-relaxed geometry (meta-GGA SCAN).

Computed properties:
Crystal system: cubic
Total moment, μB/f.u.: 0.0
Fermi-level density of states, states/eV/atom: 0.3364
Total DFT energy (no corrections), eV per cell: -163.7

a b c (Å): 4.5913 4.5913 4.5913
angles (deg): 60.00 60.00 60.00
Closest atoms and distances in Å follow each position.
Sites, in units of the cell vectors:
1 Sr 0.5000 0.5000 0.5000  8 Pt 2.81
2 Pt 0.2500 0.2500 0.2500  4 H 2.81, 4 Sr 2.81
3 Pt 0.7500 0.7500 0.7500  4 H 2.81, 4 Sr 2.81
4 H 0.0000 0.0000 0.0000  8 Pt 2.81

***

Entry from the Alexandria database: SrH2Pt at its PBEsol-relaxed geometry (meta-GGA SCAN).

Computed properties:
Crystal system: cubic
Total moment, μB/f.u.: 0.0
Fermi-level density of states, states/eV/atom: 0.3997
Total DFT energy (no corrections), eV per cell: -99.1

a b c (Å): 4.2202 4.2202 4.2202
angles (deg): 60.00 60.00 60.00
Closest atoms and distances in Å follow each position.
Sites, in units of the cell vectors:
1 Sr 0.0000 0.0000 0.0000  8 H 2.58
2 Pt 0.5000 0.5000 0.5000  8 H 2.58
3 H 0.2500 0.2500 0.2500  4 Pt 2.58, 4 Sr 2.58
4 H 0.7500 0.7500 0.7500  4 Sr 2.58, 4 Pt 2.58